(1)
{"formula": "Rb4TiO4", "functional": "PBE-GGA", "state": "relaxed", "lattice": [[-4.682, 3.407, 2.561], [1.899, -2.712, 7.080], [4.907, 6.004, 0.983]], "species": ["Rb", "Rb", "O", "O", "O", "O", "Rb", "O", "O", "Rb", "Ti", "Rb", "Rb", "Rb", "O", "Ti", "Rb", "O"], "fractional_positions": [[0.880, 0.500, 0.784], [0.120, 0.216, 0.500], [0.328, 0.500, 0.692], [0.172, 0.000, 0.808], [0.672, 0.308, 0.500], [0.328, 0.500, 0.308], [0.620, 0.000, 0.284], [0.672, 0.692, 0.500], [0.828, 0.808, 0.000], [0.620, 0.000, 0.716], [0.500, 0.500, 0.500], [0.380, 0.284, 0.000], [0.880, 0.500, 0.216], [0.120, 0.784, 0.500], [0.172, 0.000, 0.192], [0.000, 0.000, 0.000], [0.380, 0.716, 0.000], [0.828, 0.192, 0.000]], "e_form_raw_ev_per_atom": -1.98}

***

(2)
{"formula": "Rb2TiO3", "functional": "PBE-GGA", "state": "relaxed", "lattice": [[-0.542, -4.355, -5.170], [-2.573, -0.771, 6.227], [-11.412, 6.119, -3.958]], "species": ["Ti", "Rb", "O", "Rb", "Rb", "Ti", "O", "Ti", "O", "Rb", "Rb", "O", "Rb", "Rb", "O", "O", "O", "O", "O", "Ti", "O", "O", "Rb", "O"], "fractional_positions": [[0.744, 0.256, 0.171], [0.133, 0.867, 0.574], [0.102, 0.898, 0.364], [0.058, 0.942, 0.136], [0.442, 0.558, 0.636], [0.244, 0.756, 0.329], [0.168, 0.832, 0.935], [0.756, 0.244, 0.671], [0.832, 0.168, 0.065], [0.633, 0.367, 0.926], [0.367, 0.633, 0.074], [0.898, 0.102, 0.636], [0.867, 0.133, 0.426], [0.558, 0.442, 0.364], [0.668, 0.332, 0.565], [0.976, 0.524, 0.750], [0.476, 0.024, 0.750], [0.332, 0.668, 0.435], [0.024, 0.476, 0.250], [0.256, 0.744, 0.829], [0.602, 0.398, 0.136], [0.398, 0.602, 0.864], [0.942, 0.058, 0.864], [0.524, 0.976, 0.250]], "e_form_raw_ev_per_atom": -2.40}